Record 1
The following is a PBE-GGA calculation of crystalline LiY3In4 at its relaxed geometry, from the Alexandria database.

Values from the calculation:
Density of states at the Fermi level = 3.1 states/eV per cell

Cell: 3.5018 3.5018 16.1615 Å, 90.00 90.00 90.00°
Last column: nearest neighbours and their distance in Å.
Element x y z (fractional)
Li: 0.0000 0.0000 0.0000  8 In 2.93
Y: 0.0000 0.0000 0.2314  8 In 3.29-3.30, 4 Y 3.50
Y: 0.0000 0.0000 0.5000  8 In 3.30, 4 Y 3.50
Y: 0.0000 0.0000 0.7686  8 In 3.29-3.30, 4 Y 3.50
In: 0.5000 0.5000 0.0966  4 Li 2.93, 1 In 3.12
In: 0.5000 0.5000 0.3651  8 Y 3.29-3.30, 4 In 3.50
In: 0.5000 0.5000 0.6349  8 Y 3.29-3.30, 4 In 3.50
In: 0.5000 0.5000 0.9034  4 Li 2.93, 1 In 3.12

Record 2
The following is a PBE-GGA calculation of crystalline NaInPd3 at its relaxed geometry, from the Alexandria database.

Values from the calculation:
Energy above the lowest structure with this stoichiometry = 893 meV/atom
Density of states at the Fermi level = 0.3 states/eV per cell

Cell: 4.6434 4.6434 4.6434 Å, 90.00 90.00 90.00°
Last column: nearest neighbours and their distance in Å.
Element x y z (fractional)
Na: 0.0000 0.0000 0.0000  6 Pd 2.32
In: 0.5000 0.5000 0.5000  12 Pd 3.28
Pd: 0.0000 0.0000 0.5000  2 Na 2.32
Pd: 0.0000 0.5000 0.0000  2 Na 2.32
Pd: 0.5000 0.0000 0.0000  2 Na 2.32

Record 3
The following is a PBE-GGA calculation of crystalline La2ZnSe4 at its relaxed geometry, from the Alexandria database.

Values from the calculation:
Formation energy (no corrections) = -1577 meV/atom

Cell: 6.8684 6.9815 8.2996 Å, 90.00 107.72 90.00°
Last column: nearest neighbours and their distance in Å.
Element x y z (fractional)
La: 0.2263 0.2500 0.0575  6 Se 3.00-3.11
La: 0.2397 0.2500 0.5599  6 Se 2.95-3.12
La: 0.7603 0.7500 0.4401  6 Se 2.95-3.12
La: 0.7737 0.7500 0.9425  6 Se 3.00-3.11
Zn: 0.2426 0.7500 0.8092  4 Se 2.44-2.46
Zn: 0.7574 0.2500 0.1908  4 Se 2.44-2.46
Se: 0.0105 0.5103 0.2557  1 Zn 2.46
Se: 0.0105 0.9897 0.2557  1 Zn 2.46
Se: 0.4409 0.7500 0.6108  1 Zn 2.44
Se: 0.4420 0.7500 0.1082  1 Zn 2.44
Se: 0.5580 0.2500 0.8918  1 Zn 2.44
Se: 0.5591 0.2500 0.3892  1 Zn 2.44
Se: 0.9895 0.0103 0.7443  1 Zn 2.46
Se: 0.9895 0.4897 0.7443  1 Zn 2.46

Record 4
The following is a PBE-GGA calculation of crystalline Zr2SiBr at its relaxed geometry, from the Alexandria database.

Values from the calculation:
Formation energy (no corrections) = -460 meV/atom
Energy above the lowest structure with this stoichiometry = 182 meV/atom
Density of states at the Fermi level = 2.6 states/eV per cell

Cell: 3.3009 3.3009 7.5651 Å, 90.00 90.00 99.60°
Last column: nearest neighbours and their distance in Å.
Element x y z (fractional)
Zr: 0.0000 0.0000 0.2150  4 Si 2.68-3.00
Zr: 0.0000 0.0000 0.7850  4 Si 2.68-3.00
Si: 0.5000 0.5000 0.0000  8 Zr 2.68-3.00
Br: 0.5000 0.5000 0.5000  8 Zr 3.03-3.32, 4 Br 3.30

Record 5
The following is a PBE-GGA calculation of crystalline BaTc2P at its relaxed geometry, from the Alexandria database.

Values from the calculation:
Density of states at the Fermi level = 4.9 states/eV per cell

Cell: 4.8738 4.8738 4.8738 Å, 123.20 123.20 84.55°
Last column: nearest neighbours and their distance in Å.
Element x y z (fractional)
Ba: 0.0000 0.0000 0.0000  8 Tc 2.94-3.28, 4 P 2.94
Tc: 0.5000 0.5000 0.0000  4 Tc 2.94, 4 P 2.94, 4 Ba 3.28
Tc: 0.7500 0.2500 0.5000  4 Tc 2.94, 4 Ba 2.94, 4 P 3.28
P: 0.2500 0.7500 0.5000  4 Ba 2.94, 8 Tc 2.94-3.28

Record 6
The following is a PBE-GGA calculation of crystalline BaPd2Pb2 at its relaxed geometry, from the Alexandria database.

Values from the calculation:
Density of states at the Fermi level = 4.1 states/eV per cell

Cell: 8.4407 8.4407 3.6161 Å, 90.00 90.00 90.00°
Last column: nearest neighbours and their distance in Å.
Element x y z (fractional)
Ba: 0.0000 0.0000 0.0000  4 Pd 3.34, 2 Ba 3.62, 8 Pb 3.68
Ba: 0.5000 0.5000 0.0000  4 Pd 3.34, 2 Ba 3.62, 8 Pb 3.68
Pd: 0.1252 0.3748 0.0000  6 Pb 2.96-3.23, 1 Pd 2.99
Pd: 0.3748 0.8748 0.0000  6 Pb 2.96-3.23, 1 Pd 2.99
Pd: 0.6252 0.1252 0.0000  6 Pb 2.96-3.23, 1 Pd 2.99
Pd: 0.8748 0.6252 0.0000  6 Pb 2.96-3.23, 1 Pd 2.99
Pb: 0.1509 0.6509 0.5000  6 Pd 2.96-3.23
Pb: 0.3491 0.1509 0.5000  6 Pd 2.96-3.23
Pb: 0.6509 0.8491 0.5000  6 Pd 2.96-3.23
Pb: 0.8491 0.3491 0.5000  6 Pd 2.96-3.23

Record 7
The following is a PBE-GGA calculation of crystalline Pm2ZnGe4Ir3 at its relaxed geometry, from the Alexandria database.

Values from the calculation:
Density of states at the Fermi level = 5.5 states/eV per cell

Cell: 4.2806 4.2806 10.2677 Å, 90.00 90.00 90.00°
Last column: nearest neighbours and their distance in Å.
Element x y z (fractional)
Pm: 0.0000 0.5000 0.2413  6 Ir 3.26-3.41, 8 Ge 3.27, 2 Zn 3.41
Pm: 0.5000 0.0000 0.7587  6 Ir 3.26-3.41, 8 Ge 3.27, 2 Zn 3.41
Zn: 0.0000 0.0000 0.5000  4 Ge 2.57
Ge: 0.0000 0.0000 0.0000  4 Ir 2.49
Ge: 0.0000 0.5000 0.6382  3 Ir 2.44-2.57, 2 Zn 2.57
Ge: 0.5000 0.0000 0.3618  3 Ir 2.44-2.57, 2 Zn 2.57
Ge: 0.5000 0.5000 0.0000  4 Ir 2.49
Ir: 0.0000 0.5000 0.8759  5 Ge 2.44-2.49
Ir: 0.5000 0.0000 0.1241  5 Ge 2.44-2.49
Ir: 0.5000 0.5000 0.5000  4 Ge 2.57

Record 8
The following is a PBE-GGA calculation of crystalline SmAgHgBi at its relaxed geometry, from the Alexandria database.

Values from the calculation:
Density of states at the Fermi level = 4.0 states/eV per cell

Cell: 5.2799 5.2799 5.2799 Å, 60.00 60.00 60.00°
Last column: nearest neighbours and their distance in Å.
Element x y z (fractional)
Sm: 0.0000 0.0000 0.0000  4 Hg 3.23, 4 Bi 3.23
Ag: 0.5000 0.5000 0.5000  4 Hg 3.23, 4 Bi 3.23
Hg: 0.7500 0.7500 0.7500  4 Sm 3.23, 4 Ag 3.23
Bi: 0.2500 0.2500 0.2500  4 Sm 3.23, 4 Ag 3.23

Record 9
The following is a PBE-GGA calculation of crystalline Er4CoTc at its relaxed geometry, from the Alexandria database.

Values from the calculation:
Energy above the lowest structure with this stoichiometry = 137 meV/atom
Density of states at the Fermi level = 3.9 states/eV per cell

Cell: 7.4776 7.4776 7.4776 Å, 106.40 106.40 115.80°
Last column: nearest neighbours and their distance in Å.
Element x y z (fractional)
Er: 0.1943 0.4953 0.6990  1 Co 2.68, 2 Tc 2.70-2.73
Er: 0.2453 0.0464 0.8010  1 Co 2.68, 2 Tc 2.70-2.73
Er: 0.2453 0.4443 0.1990  1 Co 2.68, 2 Tc 2.70-2.73
Er: 0.2927 0.0000 0.2927  2 Co 2.62-2.68, 1 Tc 2.69
Er: 0.7073 0.0000 0.7073  2 Co 2.62-2.68, 1 Tc 2.69
Er: 0.7500 0.5427 0.7927  2 Co 2.62-2.68, 1 Tc 2.69
Er: 0.7500 0.9573 0.2073  2 Co 2.62-2.68, 1 Tc 2.69
Er: 0.7964 0.4953 0.3010  1 Co 2.68, 2 Tc 2.70-2.73
Co: 0.7427 0.2427 0.5000  6 Er 2.62-2.68
Co: 0.9927 0.9927 0.0000  6 Er 2.62-2.68
Tc: 0.2555 0.7555 0.5000  6 Er 2.69-2.73
Tc: 0.5055 0.5055 0.0000  6 Er 2.69-2.73

Record 10
The following is a PBE-GGA calculation of crystalline SrGa2Pd at its relaxed geometry, from the Alexandria database.

Values from the calculation:
Density of states at the Fermi level = 2.6 states/eV per cell

Cell: 9.3976 9.3976 9.3976 Å, 149.61 149.61 43.52°
Last column: nearest neighbours and their distance in Å.
Element x y z (fractional)
Sr: 0.0000 0.0000 0.0000  8 Ga 3.43-3.60, 4 Pd 3.48
Sr: 0.7500 0.2500 0.5000  8 Ga 3.43-3.60, 4 Pd 3.48
Ga: 0.3499 0.6250 0.2249  2 Ga 2.48, 2 Pd 2.51
Ga: 0.3750 0.5999 0.7249  2 Ga 2.48, 2 Pd 2.51
Ga: 0.4001 0.1250 0.7751  2 Ga 2.48, 2 Pd 2.51
Ga: 0.8750 0.6501 0.2751  2 Ga 2.48, 2 Pd 2.51
Pd: 0.2500 0.7500 0.5000  4 Ga 2.51
Pd: 0.5000 0.5000 0.0000  4 Ga 2.51

Record 11
The following is a PBE-GGA calculation of crystalline TcTe3S at its relaxed geometry, from the Alexandria database.

Values from the calculation:
Formation energy (no corrections) = 675 meV/atom
Energy above the lowest structure with this stoichiometry = 0 meV/atom
Density of states at the Fermi level = 7.9 states/eV per cell

Cell: 5.1752 5.1752 5.1752 Å, 90.00 90.00 90.00°
Last column: nearest neighbours and their distance in Å.
Element x y z (fractional)
Tc: 0.0000 0.0000 0.0000  6 Te 2.59
Te: 0.0000 0.0000 0.5000  2 Tc 2.59
Te: 0.0000 0.5000 0.0000  2 Tc 2.59
Te: 0.5000 0.0000 0.0000  2 Tc 2.59
S: 0.5000 0.5000 0.5000  12 Te 3.66

Record 12
The following is a PBE-GGA calculation of crystalline NaTl10In3 at its relaxed geometry, from the Alexandria database.

Values from the calculation:
Density of states at the Fermi level = 15.6 states/eV per cell

Cell: 10.8133 10.8133 10.8133 Å, 60.00 60.00 60.00°
Last column: nearest neighbours and their distance in Å.
Element x y z (fractional)
Na: 0.2500 0.2500 0.2500  4 Tl 2.92
Na: 0.7500 0.7500 0.7500  4 Tl 2.92
Tl: 0.0000 0.0000 0.3314  2 In 3.49, 9 Tl 3.58-3.68
Tl: 0.0000 0.0000 0.6686  2 In 3.49, 9 Tl 3.58-3.68
Tl: 0.0000 0.3314 0.0000  2 In 3.49, 9 Tl 3.58-3.68
Tl: 0.0000 0.3314 0.6686  2 In 3.49, 9 Tl 3.58-3.68
Tl: 0.0000 0.6686 0.0000  2 In 3.49, 9 Tl 3.58-3.68
Tl: 0.0000 0.6686 0.3314  2 In 3.49, 9 Tl 3.58-3.68
Tl: 0.0807 0.6398 0.6398  1 Na 2.92, 3 In 3.08
Tl: 0.3314 0.0000 0.0000  2 In 3.49, 9 Tl 3.58-3.68
Tl: 0.3314 0.0000 0.6686  2 In 3.49, 9 Tl 3.58-3.68
Tl: 0.3314 0.6686 0.0000  2 In 3.49, 9 Tl 3.58-3.68
Tl: 0.3602 0.3602 0.3602  1 Na 2.92, 3 In 3.08
Tl: 0.3602 0.3602 0.9193  1 Na 2.92, 3 In 3.08
Tl: 0.3602 0.9193 0.3602  1 Na 2.92, 3 In 3.08
Tl: 0.6398 0.0807 0.6398  1 Na 2.92, 3 In 3.08
Tl: 0.6398 0.6398 0.0807  1 Na 2.92, 3 In 3.08
Tl: 0.6398 0.6398 0.6398  1 Na 2.92, 3 In 3.08
Tl: 0.6686 0.0000 0.0000  2 In 3.49, 9 Tl 3.58-3.68
Tl: 0.6686 0.0000 0.3314  2 In 3.49, 9 Tl 3.58-3.68
Tl: 0.6686 0.3314 0.0000  2 In 3.49, 9 Tl 3.58-3.68
Tl: 0.9193 0.3602 0.3602  1 Na 2.92, 3 In 3.08
In: 0.3229 0.3229 0.6771  4 Tl 3.08
In: 0.3229 0.6771 0.3229  4 Tl 3.08
In: 0.3229 0.6771 0.6771  4 Tl 3.08
In: 0.6771 0.3229 0.3229  4 Tl 3.08
In: 0.6771 0.3229 0.6771  4 Tl 3.08
In: 0.6771 0.6771 0.3229  4 Tl 3.08

| no. | final energy (eV/cell) |
| --- | --- |
| 1 | -35.89 |
| 2 | -16.64 |
| 3 | -72.21 |
| 4 | -26.03 |
| 5 | -24.23 |
| 6 | -42.49 |
| 7 | -62.55 |
| 8 | -12.87 |
| 9 | -70.88 |
| 10 | -29.26 |
| 11 | -20.54 |
| 12 | -64.23 |